w | Here is crystalline Sr2Al3 at its relaxed geometry from Alexandria via LeMat-Bulk. Energies are from PBEsol.

Cell lengths 4.5607, 4.5607, 24.8911 Å; angles 90.00, 90.00, 120.00 degrees
Fractional positions:
Sr (0.0000, 0.0000, 0.0866)
Sr (0.0000, 0.0000, 0.9134)
Sr (0.3333, 0.6667, 0.5801)
Sr (0.3333, 0.6667, 0.7532)
Sr (0.6667, 0.3333, 0.2468)
Sr (0.6667, 0.3333, 0.4199)
Al (0.0000, 0.0000, 0.3396)
Al (0.0000, 0.0000, 0.5000)
Al (0.0000, 0.0000, 0.6604)
Al (0.3333, 0.6667, 0.0063)
Al (0.3333, 0.6667, 0.1667)
Al (0.3333, 0.6667, 0.3271)
Al (0.6667, 0.3333, 0.6729)
Al (0.6667, 0.3333, 0.8333)
Al (0.6667, 0.3333, 0.9937)


x | Here is crystalline Sr2Al3 at its relaxed geometry from Alexandria via LeMat-Bulk. Energies are from PBEsol.

Cell lengths 8.7790, 6.0957, 9.6941 Å; angles 62.78, 38.13, 79.09 degrees
Fractional positions:
Sr (0.1193, 0.8807, 0.2815)
Sr (0.5315, 0.9685, 0.3693)
Sr (0.8807, 0.1193, 0.7185)
Sr (0.9685, 0.5315, 0.1307)
Al (0.2414, 0.2414, 0.7586)
Al (0.4562, 0.5475, 0.2944)
Al (0.4914, 0.4914, 0.0086)
Al (0.5475, 0.4562, 0.7019)
Al (0.5481, 0.9556, 0.7025)
Al (0.9556, 0.5481, 0.7938)


Stability check: which of them is least stable? w.


w | Here is crystalline Sr2AlTe at its relaxed geometry from Alexandria via LeMat-Bulk. Energies are from PBEsol.

Cell lengths 7.1638, 8.7862, 3.9134 Å; angles 90.00, 90.00, 90.00 degrees
Fractional positions:
Sr (0.2500, 0.2500, 0.0000)
Sr (0.2500, 0.7500, 0.0000)
Sr (0.7500, 0.2500, 0.0000)
Sr (0.7500, 0.7500, 0.0000)
Al (0.0000, 0.0000, 0.5000)
Al (0.5000, 0.5000, 0.5000)
Te (0.0000, 0.5000, 0.5000)
Te (0.5000, 0.0000, 0.5000)


x | Here is crystalline Sr2AlTe at its relaxed geometry from Alexandria via LeMat-Bulk. Energies are from PBEsol.

Cell lengths 8.6868, 8.6868, 7.5267 Å; angles 90.00, 90.00, 90.00 degrees
Fractional positions:
Sr (0.2440, 0.2500, 0.1250)
Sr (0.2500, 0.7440, 0.3750)
Sr (0.2500, 0.7560, 0.8750)
Sr (0.2560, 0.2500, 0.6250)
Sr (0.7440, 0.7500, 0.6250)
Sr (0.7500, 0.2440, 0.8750)
Sr (0.7500, 0.2560, 0.3750)
Sr (0.7560, 0.7500, 0.1250)
Al (0.0000, 0.0000, 0.5000)
Al (0.0000, 0.5000, 0.7500)
Al (0.5000, 0.0000, 0.2500)
Al (0.5000, 0.5000, 0.0000)
Te (0.0000, 0.0000, 0.0000)
Te (0.0000, 0.5000, 0.2500)
Te (0.5000, 0.0000, 0.7500)
Te (0.5000, 0.5000, 0.5000)


Stability check: which of them is least stable? x.


w | Here is crystalline SrYAl2 at its relaxed geometry from Alexandria via LeMat-Bulk. Energies are from PBEsol.

Cell lengths 3.7482, 3.7482, 7.3607 Å; angles 90.00, 90.00, 90.00 degrees
Fractional positions:
Sr (0.0000, 0.0000, 0.0000)
Y (0.0000, 0.0000, 0.5000)
Al (0.5000, 0.5000, 0.2885)
Al (0.5000, 0.5000, 0.7115)


x | Here is crystalline SrYAl2 at its relaxed geometry from Alexandria via LeMat-Bulk. Energies are from PBEsol.

Cell lengths 3.5149, 4.5589, 6.6361 Å; angles 90.00, 90.00, 90.00 degrees
Fractional positions:
Sr (0.0000, 0.0000, 0.0000)
Y (0.5000, 0.5000, 0.3282)
Al (0.0000, 0.0000, 0.5132)
Al (0.5000, 0.5000, 0.7651)


Stability check: which of them is least stable? x.


w | Here is crystalline SrYAl2 at its relaxed geometry from Alexandria via LeMat-Bulk. Energies are from PBEsol.

Cell lengths 4.4735, 4.4735, 20.1970 Å; angles 90.00, 90.00, 120.00 degrees
Fractional positions:
Sr (0.0000, 0.0000, 0.0000)
Sr (0.3333, 0.6667, 0.6667)
Sr (0.6667, 0.3333, 0.3333)
Y (0.0000, 0.0000, 0.8030)
Y (0.3333, 0.6667, 0.4696)
Y (0.6667, 0.3333, 0.1363)
Al (0.0000, 0.0000, 0.2087)
Al (0.0000, 0.0000, 0.5593)
Al (0.3333, 0.6667, 0.2260)
Al (0.3333, 0.6667, 0.8753)
Al (0.6667, 0.3333, 0.5420)
Al (0.6667, 0.3333, 0.8926)


x | Here is crystalline SrYAl2 at its relaxed geometry from Alexandria via LeMat-Bulk. Energies are from PBEsol.

Cell lengths 7.3848, 7.3848, 7.3848 Å; angles 90.00, 90.00, 90.00 degrees
Fractional positions:
Sr (0.0000, 0.0000, 0.0000)
Sr (0.0000, 0.5000, 0.5000)
Sr (0.5000, 0.0000, 0.5000)
Sr (0.5000, 0.5000, 0.0000)
Y (0.2500, 0.2500, 0.7500)
Y (0.2500, 0.7500, 0.2500)
Y (0.7500, 0.2500, 0.2500)
Y (0.7500, 0.7500, 0.7500)
Al (0.0000, 0.0000, 0.5000)
Al (0.0000, 0.5000, 0.0000)
Al (0.2500, 0.2500, 0.2500)
Al (0.2500, 0.7500, 0.7500)
Al (0.5000, 0.0000, 0.0000)
Al (0.5000, 0.5000, 0.5000)
Al (0.7500, 0.2500, 0.7500)
Al (0.7500, 0.7500, 0.2500)


Stability check: which of them is least stable? x.


w | Here is crystalline Ta5Al3 at its relaxed geometry from Alexandria via LeMat-Bulk. Energies are from PBEsol.

Cell lengths 7.6850, 7.6850, 7.6850 Å; angles 96.25, 96.25, 141.46 degrees
Fractional positions:
Ta (0.0751, 0.7773, 0.8524)
Ta (0.2227, 0.0751, 0.2977)
Ta (0.2500, 0.7500, 0.5000)
Ta (0.2773, 0.5751, 0.8524)
Ta (0.4249, 0.2773, 0.7023)
Ta (0.5751, 0.7227, 0.2977)
Ta (0.7227, 0.4249, 0.1476)
Ta (0.7500, 0.2500, 0.5000)
Ta (0.7773, 0.9249, 0.7023)
Ta (0.9249, 0.2227, 0.1476)
Al (0.1662, 0.3338, 0.5000)
Al (0.2500, 0.2500, 0.0000)
Al (0.3338, 0.8338, 0.1676)
Al (0.6662, 0.1662, 0.8324)
Al (0.7500, 0.7500, 0.0000)
Al (0.8338, 0.6662, 0.5000)


x | Here is crystalline Ta5Al3 at its relaxed geometry from Alexandria via LeMat-Bulk. Energies are from PBEsol.

Cell lengths 8.5674, 8.6904, 3.5949 Å; angles 90.00, 90.00, 90.00 degrees
Fractional positions:
Ta (0.0000, 0.0000, 0.0000)
Ta (0.2454, 0.5000, 0.5000)
Ta (0.2500, 0.2500, 0.0000)
Ta (0.2500, 0.7500, 0.0000)
Ta (0.2546, 0.0000, 0.5000)
Ta (0.5000, 0.5000, 0.0000)
Ta (0.7454, 0.0000, 0.5000)
Ta (0.7500, 0.2500, 0.0000)
Ta (0.7500, 0.7500, 0.0000)
Ta (0.7546, 0.5000, 0.5000)
Al (0.0000, 0.2491, 0.5000)
Al (0.0000, 0.5000, 0.0000)
Al (0.0000, 0.7509, 0.5000)
Al (0.5000, 0.0000, 0.0000)
Al (0.5000, 0.2509, 0.5000)
Al (0.5000, 0.7491, 0.5000)


Stability check: which of them is least stable? x.


w | Here is crystalline TaAlTc at its relaxed geometry from Alexandria via LeMat-Bulk. Energies are from PBEsol.

Cell lengths 2.8418, 2.8418, 6.7213 Å; angles 90.00, 90.00, 120.00 degrees
Fractional positions:
Ta (0.0000, 0.0000, 0.0000)
Al (0.6667, 0.3333, 0.3531)
Tc (0.3333, 0.6667, 0.6640)


x | Here is crystalline TaAlTc at its relaxed geometry from Alexandria via LeMat-Bulk. Energies are from PBEsol.

Cell lengths 3.2110, 3.2110, 8.9794 Å; angles 90.00, 90.00, 90.00 degrees
Fractional positions:
Ta (0.0000, 0.0000, 0.0000)
Ta (0.5000, 0.5000, 0.5000)
Al (0.0000, 0.0000, 0.3153)
Al (0.5000, 0.5000, 0.8153)
Tc (0.0000, 0.0000, 0.6514)
Tc (0.5000, 0.5000, 0.1514)


Stability check: which of them is least stable? w.